(1)
VASP calculation (PBE) on an optimized crystal structure of Pd3RuS.

The structure belongs to space group Pm-3m (No. 221); the cell edges are 4.461, 4.461 and 4.461 Å and the angles 90.00°, 90.00° and 90.00°. Symmetry generates all atoms from Pd at (0.000, 0.000, 0.500), Ru at (0.500, 0.500, 0.500) and S at (0.000, 0.000, 0.000).

The calculation puts the spin magnetization at 3.170 Bohr magnetons per cell. The calculation puts the formation energy (no corrections) at 0.4888 eV/atom. The calculation puts the raw total energy at -5.3075 eV/atom.

(2)
VASP calculation (PBE) on an optimized crystal structure of PdRuS3.

The structure belongs to space group Pm-3m (No. 221); the cell edges are 4.590, 4.590 and 4.590 Å and the angles 90.00°, 90.00° and 90.00°. Symmetry generates all atoms from Pd at (0.000, 0.000, 0.000), Ru at (0.500, 0.500, 0.500) and S at (0.000, 0.500, 0.500).

The calculation puts the spin magnetization at 0.000 Bohr magnetons per cell. The calculation puts the formation energy (no corrections) at 0.6679 eV/atom. The calculation puts the raw total energy at -4.7024 eV/atom.

(3)
VASP calculation (PBE) on an optimized crystal structure of Sn2PdRuS.

The structure belongs to space group P4/mmm (No. 123); the cell edges are 5.257, 5.257 and 4.252 Å and the angles 90.00°, 90.00° and 90.00°. Symmetry generates all atoms from Sn at (0.000, 0.500, 0.000), Pd at (0.000, 0.000, 0.500), Ru at (0.500, 0.500, 0.500) and S at (0.500, 0.500, 0.000).

The calculation puts the spin magnetization at 0.463 Bohr magnetons per cell. The calculation puts the formation energy (no corrections) at 0.5619 eV/atom. The calculation puts the raw total energy at -4.7584 eV/atom.

(4)
VASP calculation (PBE) on an optimized crystal structure of TiPdRuS2.

The structure belongs to space group P4/mmm (No. 123); the cell edges are 4.580, 4.580 and 4.736 Å and the angles 90.00°, 90.00° and 90.00°. Symmetry generates all atoms from Ti at (0.000, 0.000, 0.000), Pd at (0.500, 0.500, 0.500), Ru at (0.500, 0.500, 0.000) and S at (0.000, 0.500, 0.500).

The calculation puts the spin magnetization at 0.009 Bohr magnetons per cell. The calculation puts the formation energy (no corrections) at 0.9423 eV/atom. The calculation puts the raw total energy at -5.1813 eV/atom.

(5)
VASP calculation (PBE) on an optimized crystal structure of ZnPdRu2S.

The structure belongs to space group P4/mmm (No. 123); the cell edges are 4.709, 4.709 and 4.336 Å and the angles 90.00°, 90.00° and 90.00°. Symmetry generates all atoms from Zn at (0.000, 0.000, 0.000), Pd at (0.500, 0.500, 0.500), Ru at (0.000, 0.500, 0.000) and S at (0.000, 0.000, 0.500).

The calculation puts the spin magnetization at 5.043 Bohr magnetons per cell. The calculation puts the formation energy (no corrections) at 1.5096 eV/atom. The calculation puts the raw total energy at -4.3196 eV/atom.

(6)
VASP calculation (PBE) on an optimized crystal structure of Sb3PdRu.

The structure belongs to space group Pm-3m (No. 221); the cell edges are 5.110, 5.110 and 5.110 Å and the angles 90.00°, 90.00° and 90.00°. Symmetry generates all atoms from Sb at (0.000, 0.000, 0.500), Pd at (0.000, 0.000, 0.000) and Ru at (0.500, 0.500, 0.500).

The calculation puts the spin magnetization at 1.089 Bohr magnetons per cell. The calculation puts the formation energy (no corrections) at 0.9634 eV/atom. The calculation puts the raw total energy at -4.4037 eV/atom.

(7)
VASP calculation (PBE) on an optimized crystal structure of Sb3PdRu.

The structure belongs to space group Pm-3m (No. 221); the cell edges are 5.073, 5.073 and 5.073 Å and the angles 90.00°, 90.00° and 90.00°. Symmetry generates all atoms from Sb at (0.000, 0.000, 0.500), Pd at (0.500, 0.500, 0.500) and Ru at (0.000, 0.000, 0.000).

The calculation puts the spin magnetization at 0.000 Bohr magnetons per cell. The calculation puts the formation energy (no corrections) at 0.5293 eV/atom. The calculation puts the raw total energy at -4.8379 eV/atom.

(8)
VASP calculation (PBE) on an optimized crystal structure of SbPdRu3.

The structure belongs to space group Pm-3m (No. 221); the cell edges are 4.807, 4.807 and 4.807 Å and the angles 90.00°, 90.00° and 90.00°. Symmetry generates all atoms from Sb at (0.000, 0.000, 0.000), Pd at (0.500, 0.500, 0.500) and Ru at (0.000, 0.000, 0.500).

The calculation puts the spin magnetization at 4.604 Bohr magnetons per cell. The calculation puts the formation energy (no corrections) at 1.7381 eV/atom. The calculation puts the raw total energy at -5.6905 eV/atom.

(9)
VASP calculation (PBE) on an optimized crystal structure of SbPdRu2.

The structure belongs to space group I-42d (No. 122); the cell edges are 3.863, 3.863 and 19.123 Å and the angles 90.00°, 90.00° and 90.00°. Symmetry generates all atoms from Sb at (0.000, 0.000, 0.000), Pd at (0.000, 0.000, 0.500) and Ru at (0.193, 0.250, 0.625).

The calculation puts the spin magnetization at 2.523 Bohr magnetons per cell. The calculation puts the formation energy (no corrections) at 0.4075 eV/atom. The calculation puts the raw total energy at -6.5592 eV/atom.

(10)
VASP calculation (PBE) on an optimized crystal structure of Sb2Pd2Ru.

The structure belongs to space group P4/mbm (No. 127); the cell edges are 7.106, 7.106 and 3.702 Å and the angles 90.00°, 90.00° and 90.00°. Symmetry generates all atoms from Sb at (0.161, 0.339, 0.000), Pd at (0.140, 0.640, 0.500) and Ru at (0.000, 0.000, 0.000).

The calculation puts the spin magnetization at 0.000 Bohr magnetons per cell. The calculation puts the formation energy (no corrections) at -0.0622 eV/atom. The calculation puts the raw total energy at -5.6435 eV/atom.

(11)
VASP calculation (PBE) on an optimized crystal structure of Sb6PdRu.

The structure belongs to space group C2/m (No. 12); the cell edges are 13.333, 9.424 and 9.423 Å and the angles 90.00°, 134.97° and 90.00°. Symmetry generates all atoms from Sb at (0.005, 0.155, 0.164), Sb at (0.151, 0.500, 0.998), Sb at (0.154, 0.341, 0.650), Sb at (0.168, 0.500, 0.324), Pd at (0.250, 0.250, 0.000) and Ru at (0.250, 0.250, 0.500).

The calculation puts the spin magnetization at 0.000 Bohr magnetons per cell. The calculation puts the formation energy (no corrections) at -0.2621 eV/atom. The calculation puts the raw total energy at -5.1625 eV/atom.

(12)
VASP calculation (PBE) on an optimized crystal structure of ScSbPdRu.

The structure belongs to space group F-43m (No. 216); the cell edges are 6.504, 6.504 and 6.504 Å and the angles 90.00°, 90.00° and 90.00°. Symmetry generates all atoms from Sc at (0.000, 0.000, 0.000), Sb at (0.000, 0.000, 0.500), Pd at (0.250, 0.250, 0.750) and Ru at (0.250, 0.250, 0.250).

The calculation puts the spin magnetization at 0.000 Bohr magnetons per cell. The calculation puts the formation energy (no corrections) at -0.5653 eV/atom. The calculation puts the raw total energy at -6.7960 eV/atom.